Density functional theory data (PBE-GGA) for an optimized crystal structure of LaSiMo2Cl.

Calculated values
space group = No. 123
energy relative to the elements, uncorrected = 350 kJ/mol of formula units

Cell lengths 4.4734, 4.4734, 5.3279 Å; angles 90.00, 90.00, 90.00 degrees
Closest atoms and distances in Å follow each position.
Element x y z (fractional)
La: 0.0000 0.0000 0.0000  2 Cl 2.66
Si: 0.5000 0.5000 0.0000  4 La 3.16, 8 Mo 3.48
Mo: 0.0000 0.5000 0.5000  2 Cl 2.24
Mo: 0.5000 0.0000 0.5000  2 Cl 2.24
Cl: 0.0000 0.0000 0.5000  4 Mo 2.24



Density functional theory data (PBE-GGA) for an optimized crystal structure of PPt2.

Calculated values
calculated formation energy = -0.30 eV per formula unit
space group = No. 12

Cell lengths 4.9050, 4.9050, 6.6511 Å; angles 100.68, 100.68, 36.78 degrees
Closest atoms and distances in Å follow each position.
Element x y z (fractional)
P: 0.0789 0.0789 0.3078  5 Pt 2.36-2.53
P: 0.9211 0.9211 0.6922  5 Pt 2.36-2.53
Pt: 0.3521 0.3521 0.3878  5 P 2.49-2.75
Pt: 0.3530 0.3530 0.9257  2 P 2.36
Pt: 0.6470 0.6470 0.0743  2 P 2.36
Pt: 0.6479 0.6479 0.6122  5 P 2.49-2.75



Density functional theory data (PBE-GGA) for an optimized crystal structure of PaTaP2.

Calculated values
calculated formation energy = 0.85 eV per formula unit
space group = No. 166

Cell lengths 8.6228, 8.6228, 8.6228 Å; angles 24.16, 24.16, 24.16 degrees
Closest atoms and distances in Å follow each position.
Element x y z (fractional)
Pa: 0.0000 0.0000 0.0000  6 P 2.75
Ta: 0.5000 0.5000 0.5000  2 P 2.39
P: 0.4046 0.4046 0.4046  1 Ta 2.39
P: 0.5954 0.5954 0.5954  1 Ta 2.39



Density functional theory data (PBE-GGA) for an optimized crystal structure of CaYCdPb.

Calculated values
calculated formation energy = -1.68 eV per formula unit
space group = No. 216

Cell lengths 5.4198, 5.4198, 5.4198 Å; angles 60.00, 60.00, 60.00 degrees
Closest atoms and distances in Å follow each position.
Element x y z (fractional)
Ca: 0.0000 0.0000 0.0000  4 Cd 3.32, 4 Pb 3.32
Y: 0.5000 0.5000 0.5000  4 Cd 3.32, 4 Pb 3.32
Cd: 0.2500 0.2500 0.2500  4 Ca 3.32, 4 Y 3.32
Pb: 0.7500 0.7500 0.7500  4 Y 3.32, 4 Ca 3.32



Density functional theory data (PBE-GGA) for an optimized crystal structure of YHg2I.

Calculated values
space group = No. 6
energy relative to the elements, uncorrected = -198 kJ/mol of formula units

Cell lengths 8.0789, 3.9387, 8.1449 Å; angles 90.00, 108.94, 90.00 degrees
Closest atoms and distances in Å follow each position.
Element x y z (fractional)
Y: 0.0000 0.0000 0.0000  4 Hg 3.11-3.14, 3 I 3.13-3.16
Y: 0.4655 0.5000 0.5352  4 Hg 3.11-3.14, 3 I 3.13-3.16
Hg: 0.3115 0.5000 0.0322  2 Y 3.14, 5 Hg 3.14-3.44
Hg: 0.4942 0.0000 0.8438  2 Y 3.14, 5 Hg 3.14-3.51
Hg: 0.5774 0.0000 0.2947  4 Hg 3.11-3.18, 2 Y 3.11
Hg: 0.7564 0.5000 0.1096  5 Hg 3.11-3.44, 2 Y 3.11
I: 0.1477 0.0000 0.4103  3 Y 3.13-3.16
I: 0.8782 0.5000 0.6844  3 Y 3.13-3.16



Density functional theory data (PBE-GGA) for an optimized crystal structure of Sr3Li2Bi4.

Calculated values
calculated formation energy = -6.40 eV per formula unit
space group = No. 12

Cell lengths 6.8574, 6.8574, 9.5144 Å; angles 105.33, 105.33, 41.35 degrees
Closest atoms and distances in Å follow each position.
Element x y z (fractional)
Sr: 0.0000 0.0000 0.0000  6 Bi 3.44-3.53
Sr: 0.3852 0.3852 0.3104  3 Li 3.40-3.55, 7 Bi 3.52-3.79
Sr: 0.6148 0.6148 0.6896  3 Li 3.40-3.55, 7 Bi 3.52-3.79
Li: 0.2932 0.2932 0.6127  4 Bi 2.82-2.90
Li: 0.7068 0.7068 0.3873  4 Bi 2.82-2.90
Bi: 0.0924 0.0924 0.3765  3 Li 2.82-2.90
Bi: 0.2910 0.2910 0.9171  1 Li 2.90, 2 Bi 3.22
Bi: 0.7090 0.7090 0.0829  1 Li 2.90, 2 Bi 3.22
Bi: 0.9076 0.9076 0.6235  3 Li 2.82-2.90



no.,D(E_F) (states/eV/atom),E_tot (eV/cell)
1,1.60,-30.2
2,0.37,-35.6
3,1.23,-31.3
4,0.91,-14.8
5,0.60,-21.3
6,0.05,-30.8